4
Lattice="-1.414 -3.634 -3.376 2.813 0.292 -1.493 2.850 -3.993 3.105" Properties=species:S:1:pos:R:3 comment="Li3Y, relaxed, DFT PBE" dos_at_fermi_per_ev_cell=3.3 sg="P2/m, No. 10" energy_ev_per_atom=-2.898 pbc="T T T"
Li 5.368 -3.652 1.683
Li 3.125 -1.899 0.735
Li 3.540 -4.592 -0.479
Y 0.709 -2.742 -1.285

4
Lattice="-6.452 -0.522 0.550 3.307 -5.450 -1.254 2.931 4.439 3.729" Properties=species:S:1:pos:R:3 comment="LiY3, relaxed, DFT PBE" dos_at_fermi_per_ev_cell=5.7 sg="R-3m, No. 166" energy_ev_per_atom=-5.141 pbc="T T T"
Y 3.119 -0.505 1.238
Y -1.761 1.959 2.140
Y -1.573 -2.986 -0.352
Li 0.000 0.000 0.000

6
Lattice="4.320 -4.796 1.642 5.577 -3.378 -1.358 5.041 3.417 3.727" Properties=species:S:1:pos:R:3 comment="LiY, relaxed, DFT PBE" dos_at_fermi_per_ev_cell=7.1 sg="Cm, No. 8" energy_ev_per_atom=-4.069 pbc="T T T"
Y 4.832 -0.886 1.606
Y 7.662 0.394 3.396
Y 12.450 -6.339 2.220
Li 10.052 -2.433 3.062
Li 10.068 -7.816 0.525
Li 7.157 -4.571 0.839

4
Lattice="-1.619 1.129 -2.694 -0.464 -3.142 1.032 -8.888 3.556 6.831" Properties=species:S:1:pos:R:3 comment="LiY, relaxed, DFT PBE" dos_at_fermi_per_ev_cell=3.7 sg="P6_3mc, No. 186" energy_ev_per_atom=-3.893 pbc="T T T"
Y -2.782 0.325 -0.262
Y -6.841 0.679 4.396
Li -9.302 2.933 4.749
Li -4.473 -0.268 2.576

What is the formula in the third record? LiY